(1)
Material: TbThAlTc
Method: DFT, GGA-PBE
State: optimized geometry

Summary:
- crystal system = cubic
- formation energy (eV per formula unit) = -0.52

a b c (Å): 5.077 5.077 5.077
angles (deg): 60.00 60.00 60.00
Positions (direct):
Tb 0.000 0.000 0.000
Th 0.500 0.500 0.500
Al 0.250 0.250 0.250
Tc 0.750 0.750 0.750

=====

(2)
Material: TbYAlTc
Method: DFT, GGA-PBE
State: optimized geometry

Summary:
- crystal system = cubic
- formation energy (eV per formula unit) = -0.57

a b c (Å): 4.991 4.991 4.991
angles (deg): 60.00 60.00 60.00
Positions (direct):
Tb 0.000 0.000 0.000
Y 0.500 0.500 0.500
Al 0.250 0.250 0.250
Tc 0.750 0.750 0.750

=====

(3)
Material: TbZrAlTc
Method: DFT, GGA-PBE
State: optimized geometry

Summary:
- crystal system = cubic
- formation energy (eV per formula unit) = -0.89

a b c (Å): 4.856 4.856 4.856
angles (deg): 60.00 60.00 60.00
Positions (direct):
Tb 0.000 0.000 0.000
Zr 0.500 0.500 0.500
Al 0.750 0.750 0.750
Tc 0.250 0.250 0.250

=====

(4)
Material: Tb2AlTe
Method: DFT, GGA-PBE
State: optimized geometry

Summary:
- crystal system = tetragonal
- formation energy without anion corrections (eV per atom) = -0.67

a b c (Å): 3.735 3.735 7.477
angles (deg): 90.00 90.00 90.00
Positions (direct):
Tb 0.000 0.000 0.245
Tb 0.000 0.000 0.755
Al 0.500 0.500 0.000
Te 0.500 0.500 0.500

=====

(5)
Material: Tb2AlTe4
Method: DFT, GGA-PBE
State: optimized geometry

Summary:
- crystal system = monoclinic
- formation energy without anion corrections (eV per atom) = -1.01

a b c (Å): 8.037 8.037 7.547
angles (deg): 117.80 117.80 30.80
Positions (direct):
Tb 0.246 0.246 0.230
Tb 0.754 0.754 0.770
Al 0.500 0.500 0.500
Te 0.117 0.117 0.450
Te 0.391 0.391 0.060
Te 0.609 0.609 0.940
Te 0.883 0.883 0.550

=====

(6)
Material: Tb4AlTe
Method: DFT, GGA-PBE
State: optimized geometry

Summary:
- crystal system = monoclinic
- formation energy without anion corrections (eV per atom) = -0.29

a b c (Å): 5.885 8.929 7.561
angles (deg): 90.00 103.68 90.00
Positions (direct):
Tb 0.019 0.055 0.244
Tb 0.019 0.445 0.244
Tb 0.418 0.250 0.008
Tb 0.426 0.750 0.489
Tb 0.574 0.250 0.511
Tb 0.582 0.750 0.992
Tb 0.981 0.555 0.756
Tb 0.981 0.945 0.756
Al 0.118 0.750 0.083
Al 0.882 0.250 0.917
Te 0.104 0.250 0.598
Te 0.896 0.750 0.402

=====

(7)
Material: Tb3AlTe6
Method: DFT, GGA-PBE
State: optimized geometry

Summary:
- crystal system = orthorhombic
- formation energy without anion corrections (eV per atom) = -1.14

a b c (Å): 9.643 9.643 7.268
angles (deg): 90.00 90.00 102.05
Positions (direct):
Tb 0.095 0.905 0.500
Tb 0.223 0.416 0.389
Tb 0.416 0.223 0.889
Tb 0.584 0.777 0.389
Tb 0.777 0.584 0.889
Tb 0.905 0.095 0.000
Al 0.295 0.705 0.854
Al 0.705 0.295 0.354
Te 0.061 0.599 0.671
Te 0.126 0.201 0.697
Te 0.201 0.126 0.197
Te 0.279 0.721 0.215
Te 0.401 0.939 0.671
Te 0.460 0.540 0.709
Te 0.540 0.460 0.209
Te 0.599 0.061 0.171
Te 0.721 0.279 0.715
Te 0.799 0.874 0.697
Te 0.874 0.799 0.197
Te 0.939 0.401 0.171

=====

(8)
Material: Tb3Al5Te12
Method: DFT, GGA-PBE
State: optimized geometry

Summary:
- crystal system = cubic
- formation energy without anion corrections (eV per atom) = -0.74

a b c (Å): 14.845 14.845 14.845
angles (deg): 109.47 109.47 109.47
Positions (direct):
Tb 0.125 0.250 0.375
Tb 0.125 0.375 0.750
Tb 0.250 0.375 0.125
Tb 0.250 0.875 0.625
Tb 0.375 0.125 0.250
Tb 0.375 0.750 0.125
Tb 0.625 0.250 0.875
Tb 0.625 0.875 0.750
Tb 0.750 0.125 0.375
Tb 0.750 0.625 0.875
Tb 0.875 0.625 0.250
Tb 0.875 0.750 0.625
Al 0.000 0.000 0.000
Al 0.000 0.000 0.500
Al 0.000 0.500 0.000
Al 0.000 0.500 0.500
Al 0.125 0.750 0.875
Al 0.125 0.875 0.250
Al 0.250 0.125 0.875
Al 0.250 0.625 0.375
Al 0.375 0.250 0.625
Al 0.375 0.625 0.750
Al 0.500 0.000 0.000
Al 0.500 0.000 0.500
Al 0.500 0.500 0.000
Al 0.500 0.500 0.500
Al 0.625 0.375 0.250
Al 0.625 0.750 0.375
Al 0.750 0.375 0.625
Al 0.750 0.875 0.125
Al 0.875 0.125 0.750
Al 0.875 0.250 0.125
Te 0.035 0.210 0.124
Te 0.035 0.325 0.910
Te 0.086 0.710 0.675
Te 0.086 0.876 0.410
Te 0.090 0.624 0.414
Te 0.090 0.965 0.675
Te 0.124 0.035 0.210
Te 0.124 0.590 0.914
Te 0.175 0.210 0.586
Te 0.175 0.465 0.590
Te 0.210 0.124 0.035
Te 0.210 0.586 0.175
Te 0.290 0.325 0.914
Te 0.290 0.465 0.376
Te 0.325 0.910 0.035
Te 0.325 0.914 0.290
Te 0.376 0.290 0.465
Te 0.376 0.586 0.910
Te 0.410 0.086 0.876
Te 0.410 0.825 0.535
Te 0.414 0.090 0.624
Te 0.414 0.825 0.790
Te 0.465 0.376 0.290
Te 0.465 0.590 0.175
Te 0.535 0.410 0.825
Te 0.535 0.624 0.710
Te 0.586 0.175 0.210
Te 0.586 0.910 0.376
Te 0.590 0.175 0.465
Te 0.590 0.914 0.124
Te 0.624 0.414 0.090
Te 0.624 0.710 0.535
Te 0.675 0.086 0.710
Te 0.675 0.090 0.965
Te 0.710 0.535 0.624
Te 0.710 0.675 0.086
Te 0.790 0.414 0.825
Te 0.790 0.876 0.965
Te 0.825 0.535 0.410
Te 0.825 0.790 0.414
Te 0.876 0.410 0.086
Te 0.876 0.965 0.790
Te 0.910 0.035 0.325
Te 0.910 0.376 0.586
Te 0.914 0.124 0.590
Te 0.914 0.290 0.325
Te 0.965 0.675 0.090
Te 0.965 0.790 0.876

=====

(9)
Material: Tb2AlTe
Method: DFT, GGA-PBE
State: optimized geometry

Summary:
- crystal system = orthorhombic
- formation energy without anion corrections (eV per atom) = -0.91

a b c (Å): 11.992 11.992 4.207
angles (deg): 90.00 90.00 158.64
Positions (direct):
Tb 0.063 0.937 0.750
Tb 0.331 0.669 0.750
Tb 0.669 0.331 0.250
Tb 0.937 0.063 0.250
Al 0.463 0.537 0.750
Al 0.537 0.463 0.250
Te 0.195 0.805 0.750
Te 0.805 0.195 0.250

=====

(10)
Material: Tb7Al2Te2
Method: DFT, GGA-PBE
State: optimized geometry

Summary:
- crystal system = orthorhombic
- formation energy without anion corrections (eV per atom) = -0.54

a b c (Å): 9.700 9.700 9.700
angles (deg): 156.83 67.23 117.88
Positions (direct):
Tb 0.000 0.000 0.000
Tb 0.017 0.342 0.676
Tb 0.110 0.754 0.356
Tb 0.398 0.754 0.644
Tb 0.459 0.570 0.889
Tb 0.666 0.342 0.324
Tb 0.681 0.570 0.111
Al 0.312 0.312 0.000
Al 0.751 0.251 0.500
Te 0.294 0.056 0.238
Te 0.818 0.056 0.762

=====

(11)
Material: Tb2Al2Te7
Method: DFT, GGA-PBE
State: optimized geometry

Summary:
- crystal system = monoclinic
- formation energy without anion corrections (eV per atom) = -0.69

a b c (Å): 7.944 7.944 7.434
angles (deg): 101.31 101.31 110.15
Positions (direct):
Tb 0.197 0.803 0.000
Tb 0.803 0.197 0.000
Al 0.251 0.251 0.621
Al 0.749 0.749 0.379
Te 0.041 0.395 0.760
Te 0.156 0.156 0.240
Te 0.395 0.041 0.760
Te 0.500 0.500 0.500
Te 0.605 0.959 0.240
Te 0.844 0.844 0.760
Te 0.959 0.605 0.240

=====

(12)
Material: TbAlTe
Method: DFT, GGA-PBE
State: optimized geometry

Summary:
- crystal system = trigonal
- formation energy without anion corrections (eV per atom) = -0.72

a b c (Å): 11.349 11.349 11.349
angles (deg): 22.46 22.46 22.46
Positions (direct):
Tb 0.065 0.065 0.065
Tb 0.935 0.935 0.935
Al 0.335 0.335 0.335
Al 0.665 0.665 0.665
Te 0.220 0.220 0.220
Te 0.780 0.780 0.780